#A
Compound: TlAg2Pb2
Source: Alexandria via LeMat-Bulk
Functional: PBE
Structure: relaxed

abc: 9.0178 9.0178 3.2633
angles: 90.00 90.00 90.00
Last column: nearest neighbours and their distance in Å.
Atoms (fractional coordinates):
Tl1 0.5000 0.5000 0.0000  2 Tl 3.26, 4 Pb 3.49
Pb1 0.3613 0.8613 0.0000  6 Ag 3.07-3.13, 2 Pb 3.26
Ag1 0.1571 0.6571 0.5000  6 Pb 3.07-3.13, 2 Ag 3.26
Pb2 0.1387 0.3613 0.0000  6 Ag 3.07-3.13, 2 Pb 3.26
Tl2 0.0000 0.0000 0.0000  2 Tl 3.26, 4 Pb 3.49
Ag2 0.8429 0.3429 0.5000  6 Pb 3.07-3.13, 2 Ag 3.26
Pb3 0.6387 0.1387 0.0000  6 Ag 3.07-3.13, 2 Pb 3.26
Ag3 0.3429 0.1571 0.5000  6 Pb 3.07-3.13, 2 Ag 3.26
Ag4 0.6571 0.8429 0.5000  6 Pb 3.07-3.13, 2 Ag 3.26
Pb4 0.8613 0.6387 0.0000  6 Ag 3.07-3.13, 2 Pb 3.26

## Properties
- space group = P4/mbm, No. 127

***

#B
Compound: TlAg2Pb2
Source: Alexandria via LeMat-Bulk
Functional: PBE
Structure: relaxed

abc: 8.2330 8.2330 3.8419
angles: 90.00 90.00 90.00
Last column: nearest neighbours and their distance in Å.
Atoms (fractional coordinates):
Ag1 0.8751 0.6249 0.0000  1 Ag 2.91, 6 Pb 3.06-3.12, 2 Tl 3.25
Ag2 0.6249 0.1249 0.0000  1 Ag 2.91, 6 Pb 3.06-3.12, 2 Tl 3.25
Pb1 0.1707 0.6707 0.5000  6 Ag 3.06-3.12
Ag3 0.1249 0.3751 0.0000  1 Ag 2.91, 6 Pb 3.06-3.12, 2 Tl 3.25
Pb2 0.3293 0.1707 0.5000  6 Ag 3.06-3.12
Tl1 0.0000 0.0000 0.0000  4 Ag 3.25, 8 Pb 3.61
Tl2 0.5000 0.5000 0.0000  4 Ag 3.25, 8 Pb 3.61
Ag4 0.3751 0.8751 0.0000  1 Ag 2.91, 6 Pb 3.06-3.12, 2 Tl 3.25
Pb3 0.8293 0.3293 0.5000  6 Ag 3.06-3.12
Pb4 0.6707 0.8293 0.5000  6 Ag 3.06-3.12

## Properties
- space group = P4/mbm, No. 127

***

#C
Compound: TlAg2Pb2
Source: Alexandria via LeMat-Bulk
Functional: PBE
Structure: relaxed

abc: 4.7854 4.7854 7.1032
angles: 70.31 70.31 90.00
Last column: nearest neighbours and their distance in Å.
Atoms (fractional coordinates):
Tl1 0.0000 0.0000 0.0000  8 Ag 3.64, 8 Pb 3.93
Pb1 0.2500 0.7500 0.5000  4 Ag 2.98
Pb2 0.7500 0.2500 0.5000  4 Ag 2.98
Ag1 0.3917 0.3917 0.2165  1 Ag 2.70, 4 Pb 2.98
Ag2 0.6083 0.6083 0.7835  1 Ag 2.70, 4 Pb 2.98

## Properties
- space group = I4/mmm, No. 139

***

#D
Compound: TlAg2Pb2
Source: Alexandria via LeMat-Bulk
Functional: PBE
Structure: relaxed

abc: 3.9278 3.9278 9.2236
angles: 77.71 77.71 90.00
Last column: nearest neighbours and their distance in Å.
Atoms (fractional coordinates):
Pb1 0.3860 0.3860 0.2279  4 Ag 3.10, 4 Tl 3.43
Ag1 0.2500 0.7500 0.5000  4 Ag 2.78, 4 Pb 3.10
Ag2 0.7500 0.2500 0.5000  4 Ag 2.78, 4 Pb 3.10
Pb2 0.6140 0.6140 0.7721  4 Ag 3.10, 4 Tl 3.43
Tl1 0.0000 0.0000 0.0000  8 Pb 3.43

## Properties
- space group = I4/mmm, No. 139

***

Relative energy of each structure, in kJ/mol of atoms: #A 4.1; #B 0.0; #C 7.2; #D 3.4.

***

#A
Compound: YTlAgPb
Source: Alexandria via LeMat-Bulk
Functional: PBE
Structure: relaxed

abc: 4.4767 4.8485 4.6326
angles: 90.00 90.00 90.00
Last column: nearest neighbours and their distance in Å.
Atoms (fractional coordinates):
Pb1 0.5000 0.5000 0.0000  4 Y 3.22, 4 Ag 3.30, 4 Tl 3.35
Ag1 0.0000 0.0000 0.0000  4 Tl 3.22, 4 Pb 3.30, 4 Y 3.35
Y1 0.0000 0.5000 0.5000  4 Pb 3.22, 4 Tl 3.30, 4 Ag 3.35
Tl1 0.5000 0.0000 0.5000  4 Ag 3.22, 4 Y 3.30, 4 Pb 3.35

## Properties
- space group = Pmmm, No. 47

***

#B
Compound: YTlAgPb
Source: Alexandria via LeMat-Bulk
Functional: PBE
Structure: relaxed

abc: 5.2543 5.2543 5.2543
angles: 60.00 60.00 60.00
Last column: nearest neighbours and their distance in Å.
Atoms (fractional coordinates):
Ag1 0.2500 0.2500 0.2500  4 Tl 3.22, 4 Pb 3.22
Tl1 0.0000 0.0000 0.0000  4 Ag 3.22, 4 Y 3.22
Pb1 0.5000 0.5000 0.5000  4 Ag 3.22, 4 Y 3.22
Y1 0.7500 0.7500 0.7500  4 Pb 3.22, 4 Tl 3.22

## Properties
- space group = F-43m, No. 216

***

Relative energy of each structure, in kJ/mol of atoms: #A 0.0; #B 12.6.

***

#A
Compound: AgPb2W
Source: Alexandria via LeMat-Bulk
Functional: PBE
Structure: relaxed

abc: 5.7600 5.7600 5.7600
angles: 137.16 137.16 62.19
Last column: nearest neighbours and their distance in Å.
Atoms (fractional coordinates):
Pb1 0.0000 0.0000 0.0000  4 W 2.97, 4 Ag 3.24, 4 Pb 3.24
W1 0.5000 0.5000 0.0000  8 Pb 2.97-3.24, 4 Ag 3.24
Pb2 0.2500 0.7500 0.5000  4 Ag 2.97, 4 W 3.24, 4 Pb 3.24
Ag1 0.7500 0.2500 0.5000  8 Pb 2.97-3.24, 4 W 3.24

## Properties
- space group = I-4m2, No. 119

***

#B
Compound: AgPb2W
Source: Alexandria via LeMat-Bulk
Functional: PBE
Structure: relaxed

abc: 3.0695 4.7445 6.0400
angles: 90.00 90.00 90.00
Last column: nearest neighbours and their distance in Å.
Atoms (fractional coordinates):
Pb1 0.5000 0.5000 0.2928  1 Ag 2.81, 4 W 3.06, 2 Pb 3.07
Pb2 0.0000 0.0000 0.9633  2 W 2.88-3.16, 2 Pb 3.07, 4 Ag 3.09
Ag1 0.5000 0.5000 0.7576  5 Pb 2.81-3.09, 2 Ag 3.07
W1 0.0000 0.0000 0.4863  6 Pb 2.88-3.16, 2 W 3.07

## Properties
- space group = Pmm2, No. 25

***

Relative energy of each structure, in kJ/mol of atoms: #A 11.1; #B 0.0.

***

#A
Compound: AgPb2W
Source: Alexandria via LeMat-Bulk
Functional: PBE
Structure: relaxed

abc: 7.8738 7.8738 6.3938
angles: 51.99 51.99 90.00
Last column: nearest neighbours and their distance in Å.
Atoms (fractional coordinates):
Pb1 0.8750 0.8807 0.7500  2 W 2.86, 2 Ag 2.92, 2 Pb 3.14
Ag1 0.5000 0.5000 0.0000  4 Pb 2.92, 2 W 3.14
W1 0.0000 0.0000 0.0000  4 Pb 2.86, 2 Ag 3.14
Pb2 0.6307 0.1250 0.2500  2 W 2.86, 2 Ag 2.92, 2 Pb 3.14
W2 0.7500 0.2500 0.5000  4 Pb 2.86, 2 Ag 3.14
Pb3 0.3750 0.3693 0.7500  2 W 2.86, 2 Ag 2.92, 2 Pb 3.14
Ag2 0.2500 0.7500 0.5000  4 Pb 2.92, 2 W 3.14
Pb4 0.1193 0.6250 0.2500  2 W 2.86, 2 Ag 2.92, 2 Pb 3.14

## Properties
- space group = I-42d, No. 122

***

#B
Compound: AgPb2W
Source: Alexandria via LeMat-Bulk
Functional: PBE
Structure: relaxed

abc: 3.6479 3.6492 6.5216
angles: 90.00 90.00 90.00
Last column: nearest neighbours and their distance in Å.
Atoms (fractional coordinates):
Pb1 0.0000 0.0000 0.0102  4 W 3.02, 4 Ag 3.09, 1 Pb 3.13
Pb2 0.0000 0.0000 0.4898  4 W 3.02, 4 Ag 3.09, 1 Pb 3.13
W1 0.5000 0.5000 0.2500  8 Pb 3.02, 2 Ag 3.26
Ag1 0.5000 0.5000 0.7500  8 Pb 3.09, 2 W 3.26

## Properties
- space group = P4/mmm, No. 123

***

#C
Compound: AgPb2W
Source: Alexandria via LeMat-Bulk
Functional: PBE
Structure: relaxed

abc: 3.0298 3.0301 10.5092
angles: 90.00 90.00 89.98
Last column: nearest neighbours and their distance in Å.
Atoms (fractional coordinates):
Pb1 0.0000 0.0000 0.9410  4 Pb 3.03, 4 Ag 3.19
W1 0.0000 0.0000 0.5315  4 Ag 2.89, 4 W 3.03, 4 Pb 3.15
Ag1 0.5000 0.5000 0.7162  4 W 2.89, 4 Ag 3.03, 4 Pb 3.19
Pb2 0.5000 0.5000 0.3112  4 Pb 3.03, 4 W 3.15

## Properties
- space group = P4mm, No. 99

***

#D
Compound: AgPb2W
Source: Alexandria via LeMat-Bulk
Functional: PBE
Structure: relaxed

abc: 3.8267 3.8267 6.0096
angles: 90.00 90.00 90.00
Last column: nearest neighbours and their distance in Å.
Atoms (fractional coordinates):
Pb1 0.0000 0.0000 0.9649  2 W 2.89-3.12, 4 Ag 2.98
Ag1 0.5000 0.5000 0.7581  5 Pb 2.80-2.98
Pb2 0.5000 0.5000 0.2927  1 Ag 2.80, 4 W 2.94
W1 0.0000 0.0000 0.4843  6 Pb 2.89-3.12, 4 Ag 3.17

## Properties
- space group = P4mm, No. 99

***

Relative energy of each structure, in kJ/mol of atoms: #A 53.6; #B 18.3; #C 0.0; #D 19.7.

***

#A
Compound: AgPb2W
Source: Alexandria via LeMat-Bulk
Functional: PBE
Structure: relaxed

abc: 5.3251 5.3251 3.0935
angles: 90.00 90.00 91.30
Last column: nearest neighbours and their distance in Å.
Atoms (fractional coordinates):
W1 0.5000 0.0000 0.5000  8 Pb 3.08, 2 W 3.09
Ag1 0.0000 0.5000 0.5000  8 Pb 3.08, 2 Ag 3.09
Pb1 0.5000 0.5000 0.0000  4 W 3.08, 4 Ag 3.08, 2 Pb 3.09
Pb2 0.0000 0.0000 0.0000  4 Ag 3.08, 4 W 3.08, 2 Pb 3.09

## Properties
- space group = Cmmm, No. 65

***

#B
Compound: AgPb2W
Source: Alexandria via LeMat-Bulk
Functional: PBE
Structure: relaxed

abc: 9.7779 9.7779 9.7779
angles: 19.27 19.27 19.27
Last column: nearest neighbours and their distance in Å.
Atoms (fractional coordinates):
W1 0.2500 0.2500 0.2500  6 Pb 2.96, 6 W 3.27
Pb1 0.9959 0.9959 0.9959  3 W 2.96, 3 Ag 3.15, 6 Pb 3.27
Pb2 0.5041 0.5041 0.5041  3 W 2.96, 3 Ag 3.15, 6 Pb 3.27
Ag1 0.7500 0.7500 0.7500  6 Pb 3.15, 6 Ag 3.27

## Properties
- space group = R-3m, No. 166

***

Relative energy of each structure, in kJ/mol of atoms: #A 14.1; #B 0.0.

***

#A
Compound: AgPbW2
Source: Alexandria via LeMat-Bulk
Functional: PBE
Structure: relaxed

abc: 4.9743 4.9743 2.9549
angles: 90.00 90.00 90.00
Last column: nearest neighbours and their distance in Å.
Atoms (fractional coordinates):
Pb1 0.0000 0.5000 0.5000  8 W 2.89, 2 Pb 2.95
Ag1 0.5000 0.0000 0.5000  8 W 2.89, 2 Ag 2.95
W1 0.5000 0.5000 0.0000  4 Pb 2.89, 4 Ag 2.89, 2 W 2.95
W2 0.0000 0.0000 0.0000  4 Pb 2.89, 4 Ag 2.89, 2 W 2.95

## Properties
- space group = P4/mmm, No. 123

***

#B
Compound: AgPbW2
Source: Alexandria via LeMat-Bulk
Functional: PBE
Structure: relaxed

abc: 5.4341 5.4341 5.4341
angles: 137.06 137.06 62.34
Last column: nearest neighbours and their distance in Å.
Atoms (fractional coordinates):
Ag1 0.2500 0.7500 0.5000  4 Pb 2.81, 8 W 3.06
W1 0.5000 0.5000 0.0000  4 W 2.81, 4 Ag 3.06, 4 Pb 3.06
Pb1 0.7500 0.2500 0.5000  4 Ag 2.81, 8 W 3.06
W2 0.0000 0.0000 0.0000  4 W 2.81, 4 Pb 3.06, 4 Ag 3.06

## Properties
- space group = I4/mmm, No. 139

***

#C
Compound: AgPbW2
Source: Alexandria via LeMat-Bulk
Functional: PBE
Structure: relaxed

abc: 10.3814 10.3814 10.3814
angles: 16.31 16.31 16.31
Last column: nearest neighbours and their distance in Å.
Atoms (fractional coordinates):
Ag1 0.5068 0.5068 0.5068  3 W 2.94, 6 Ag 2.94
Pb1 0.7476 0.7476 0.7476  6 Pb 2.94, 3 W 3.17
W1 0.9939 0.9939 0.9939  9 W 2.88-2.94, 3 Pb 3.17
W2 0.2517 0.2517 0.2517  9 W 2.88-2.94, 3 Ag 2.94

## Properties
- space group = R3m, No. 160

***

Relative energy of each structure, in kJ/mol of atoms: #A 46.6; #B 25.7; #C 0.0.

***

#A
Compound: AgPbW
Source: Alexandria via LeMat-Bulk
Functional: PBE
Structure: relaxed

abc: 7.7459 7.5902 2.9565
angles: 81.86 75.94 22.20
Last column: nearest neighbours and their distance in Å.
Atoms (fractional coordinates):
Pb1 0.6756 0.6756 0.3244  4 Pb 2.96, 2 W 3.00
W1 0.3391 0.3391 0.6609  2 Ag 2.80, 4 W 2.96, 2 Pb 3.00
Ag1 0.9853 0.9853 0.0147  2 W 2.80, 4 Ag 2.96

## Properties
- space group = Fmm2, No. 42

***

#B
Compound: AgPbW
Source: Alexandria via LeMat-Bulk
Functional: PBE
Structure: relaxed

abc: 4.6451 4.6451 4.6451
angles: 60.00 60.00 60.00
Last column: nearest neighbours and their distance in Å.
Atoms (fractional coordinates):
Pb1 0.5000 0.5000 0.5000  4 W 2.84
Ag1 0.0000 0.0000 0.0000  4 W 2.84
W1 0.7500 0.7500 0.7500  4 Pb 2.84, 4 Ag 2.84

## Properties
- space group = F-43m, No. 216

***

Relative energy of each structure, in kJ/mol of atoms: #A 0.0; #B 40.7.

***

#A
Compound: ZnAg2Pb
Source: Alexandria via LeMat-Bulk
Functional: PBE
Structure: relaxed

abc: 9.7465 9.7465 9.7465
angles: 18.75 18.75 18.75
Last column: nearest neighbours and their distance in Å.
Atoms (fractional coordinates):
Ag1 0.0023 0.0023 0.0023  3 Zn 2.75, 3 Ag 2.90
Pb1 0.4998 0.4998 0.4998  6 Pb 3.18, 3 Ag 3.19, 3 Zn 3.23
Zn1 0.7404 0.7404 0.7404  3 Ag 2.75
Ag2 0.2575 0.2575 0.2575  9 Ag 2.90-3.18, 3 Pb 3.19

## Properties
- space group = R3m, No. 160

***

#B
Compound: ZnAg2Pb
Source: Alexandria via LeMat-Bulk
Functional: PBE
Structure: relaxed

abc: 5.5064 5.6847 3.1457
angles: 78.38 81.07 116.19
Last column: nearest neighbours and their distance in Å.
Atoms (fractional coordinates):
Zn1 0.5000 0.5000 0.0000  2 Pb 2.95, 4 Ag 2.96, 2 Zn 3.15
Pb1 0.0000 0.5000 0.5000  2 Zn 2.95, 4 Ag 2.96, 2 Pb 3.15
Ag1 0.0000 0.0000 0.0000  4 Ag 2.95-3.15, 2 Zn 2.96, 2 Pb 2.96
Ag2 0.5000 0.0000 0.5000  4 Ag 2.95-3.15, 2 Pb 2.96, 2 Zn 2.96

## Properties
- space group = C2/m, No. 12

***

Relative energy of each structure, in kJ/mol of atoms: #A 0.0; #B 4.6.